An optimized crystal structure of AgBSe2. Source: the Alexandria database, functional PBE.

The structure belongs to space group P1 (No. 1); the cell edges are 4.531, 7.465 and 7.677 Å and the angles 63.30°, 88.45° and 88.25°. The inequivalent atoms are Ag at (0.000, 0.000, 0.000), Ag at (0.470, 0.562, 0.565), B at (0.589, 0.034, 0.674), B at (0.791, 0.855, 0.498), Se at (0.492, 0.181, 0.825), Se at (0.613, 0.131, 0.390), Se at (0.743, 0.750, 0.789) and Se at (0.986, 0.719, 0.361).

The calculation puts the total energy at -4.180 eV per atom. The calculation puts the raw formation energy at -0.056 eV/atom. The volume is 231.8 Å³ per cell. For the density of states at the Fermi level, the calculation gives 0.0 states/eV per cell. For the total magnetic moment, the calculation gives 0.00 μB per cell.

---

An optimized crystal structure of AgBSe2. Source: the Alexandria database, functional PBE.

The structure belongs to space group C2/m (No. 12); the cell edges are 17.454, 4.348 and 6.874 Å and the angles 90.00°, 99.15° and 90.00°. The inequivalent atoms are Ag at (0.168, 0.000, 0.343), B at (0.138, 0.500, 0.498), Se at (0.074, 0.500, 0.256) and Se at (0.190, 0.500, 0.751).

The calculation puts the total energy at -4.049 eV per atom. The calculation puts the raw formation energy at 0.076 eV/atom. The volume is 515.0 Å³ per cell. For the density of states at the Fermi level, the calculation gives 0.0 states/eV per cell. For the total magnetic moment, the calculation gives 0.00 μB per cell.

---

An optimized crystal structure of Ag2BSe5. Source: the Alexandria database, functional PBE.

The structure belongs to space group P1 (No. 1); the cell edges are 5.001, 6.841 and 7.107 Å and the angles 64.96°, 73.26° and 70.40°. The inequivalent atoms are Ag at (0.000, 0.000, 0.000), Ag at (0.197, 0.501, 0.071), B at (0.603, 0.259, 0.491), Se at (0.196, 0.501, 0.445), Se at (0.231, 0.818, 0.699), Se at (0.578, 0.967, 0.742), Se at (0.773, 0.380, 0.649) and Se at (0.780, 0.289, 0.186).

The calculation puts the total energy at -3.682 eV per atom. The calculation puts the raw formation energy at 0.043 eV/atom. The volume is 204.5 Å³ per cell. For the density of states at the Fermi level, the calculation gives 2.6 states/eV per cell. For the total magnetic moment, the calculation gives 0.00 μB per cell.